{
  "formula": "GdTh2Re",
  "functional": "GGA-PBE",
  "state": "optimized geometry",
  "cell": [[4.907, 0.000, 0.000], [2.453, 4.249, 0.000], [2.453, 1.416, 5.009]],
  "species": ["Re", "Gd", "Th", "Th"],
  "fractional_positions": [[0.000, 0.000, 0.000], [0.500, 0.500, 0.500], [0.259, 0.259, 0.223], [0.741, 0.741, 0.777]],
  "delta_e_f_ev_per_atom": 0.25,
  "e_tot_ev_per_cell": -40.4
}